An optimized crystal structure of CsGaO2. Source: Alexandria, functional PBE.

Cell and atoms, written as CIF:
```
data_CsGaO2
_space_group_name_H-M_alt 'P 1'
_space_group_IT_number 1
_cell_length_a 3.318
_cell_length_b 6.860
_cell_length_c 7.616
_cell_angle_alpha 74.88
_cell_angle_beta 78.31
_cell_angle_gamma 85.31
loop_
_space_group_symop_operation_xyz
'x,y,z'
loop_
_atom_site_label
_atom_site_type_symbol
_atom_site_fract_x
_atom_site_fract_y
_atom_site_fract_z
_atom_site_occupancy
Cs1 Cs 0.000 0.000 0.000 1
Cs2 Cs 0.264 0.663 0.647 1
Ga1 Ga 0.266 0.441 0.185 1
Ga2 Ga 0.780 0.186 0.468 1
O1 O 0.353 0.156 0.315 1
O2 O 0.653 0.020 0.689 1
O3 O 0.801 0.505 0.045 1
O4 O 0.898 0.466 0.405 1
```

Properties
Total magnetic moment ... 0.0 μB/cell
Formation energy without anion corrections ... -6.24 eV per formula unit
Density ... 4.76 g/cm3